No. 1
A plane-wave DFT calculation with PBE was carried out for a relaxed GaBiPb3 crystal.

```
data_GaBiPb3
_chemical_formula_sum 'Ga4 Bi4 Pb12'
_cell_length_a 7.5013
_cell_length_b 7.1268
_cell_length_c 11.3504
_cell_angle_alpha 90.00
_cell_angle_beta 96.46
_cell_angle_gamma 90.00
_space_group_name_H-M_alt 'P 1 21/c 1'
_space_group_IT_number 14
_space_group_name_Hall '-P 2ybc'
loop_
_atom_site_label
_atom_site_type_symbol
_atom_site_fract_x
_atom_site_fract_y
_atom_site_fract_z
Ga1 Ga 0.0723 0.1569 0.0687
Bi1 Bi 0.4621 0.1815 0.5927
Pb1 Pb 0.1022 0.0167 0.3673
Pb2 Pb 0.2656 0.0427 0.8355
Pb3 Pb 0.2980 0.6974 0.6259
```

ΔE to the lowest computed polymorph   21.1 meV/atom
VASP energy   -3.535 eV per atom

***

No. 2
A plane-wave DFT calculation with PBE was carried out for a relaxed GaNiRh crystal.

```
data_GaNiRh
_chemical_formula_sum 'Ga1 Ni1 Rh1'
_cell_length_a 4.0862
_cell_length_b 4.0862
_cell_length_c 2.7572
_cell_angle_alpha 90.00
_cell_angle_beta 90.00
_cell_angle_gamma 120.00
_space_group_name_H-M_alt 'P 3 m 1'
_space_group_IT_number 156
_space_group_name_Hall 'P 3 -2"'
loop_
_atom_site_label
_atom_site_type_symbol
_atom_site_fract_x
_atom_site_fract_y
_atom_site_fract_z
Ga1 Ga 0.0000 0.0000 0.0000
Ni1 Ni 0.6667 0.3333 0.9938
Rh1 Rh 0.3333 0.6667 0.4957
```

VASP energy   -5.682 eV per atom

***

No. 3
A plane-wave DFT calculation with PBE was carried out for a relaxed Cs2YTe2O6 crystal.

```
data_Cs2YTe2O6
_chemical_formula_sum 'Cs4 Y2 Te4 O12'
_cell_length_a 10.2762
_cell_length_b 6.6026
_cell_length_c 7.6186
_cell_angle_alpha 90.00
_cell_angle_beta 110.20
_cell_angle_gamma 90.00
_space_group_name_H-M_alt 'C 1 2/m 1'
_space_group_IT_number 12
_space_group_name_Hall '-C 2y'
loop_
_atom_site_label
_atom_site_type_symbol
_atom_site_fract_x
_atom_site_fract_y
_atom_site_fract_z
Cs1 Cs 0.2016 0.0000 0.1384
Y1 Y 0.0000 0.0000 0.5000
Te1 Te 0.0835 0.5000 0.2617
O1 O 0.0128 0.2453 0.7208
O2 O 0.2346 0.0000 0.5530
```

VASP energy   -5.658 eV per atom

***

No. 4
A plane-wave DFT calculation with PBE was carried out for a relaxed TaCrAgS4 crystal.

```
data_TaCrAgS4
_chemical_formula_sum 'Ta4 Cr4 Ag4 S16'
_cell_length_a 7.1083
_cell_length_b 7.5025
_cell_length_c 10.3957
_cell_angle_alpha 90.00
_cell_angle_beta 90.00
_cell_angle_gamma 90.00
_space_group_name_H-M_alt 'I m m a'
_space_group_IT_number 74
_space_group_name_Hall '-I 2b 2'
loop_
_atom_site_label
_atom_site_type_symbol
_atom_site_fract_x
_atom_site_fract_y
_atom_site_fract_z
Ta1 Ta 0.2500 0.2500 0.2500
Cr1 Cr 0.0000 0.0000 0.0000
Ag1 Ag 0.0000 0.2500 0.6273
S1 S 0.0000 0.0183 0.2358
S2 S 0.2214 0.2500 0.0135
```

VASP energy   -6.488 eV per atom

***

No. 5
A plane-wave DFT calculation with PBE was carried out for a relaxed Na2ErSe2O6 crystal.

```
data_Na2ErSe2O6
_chemical_formula_sum 'Na4 Er2 Se4 O12'
_cell_length_a 8.9013
_cell_length_b 5.8915
_cell_length_c 6.8939
_cell_angle_alpha 90.00
_cell_angle_beta 115.52
_cell_angle_gamma 90.00
_space_group_name_H-M_alt 'C 1 2/m 1'
_space_group_IT_number 12
_space_group_name_Hall '-C 2y'
loop_
_atom_site_label
_atom_site_type_symbol
_atom_site_fract_x
_atom_site_fract_y
_atom_site_fract_z
Na1 Na 0.2039 0.0000 0.1204
Er1 Er 0.0000 0.0000 0.5000
Se1 Se 0.0836 0.5000 0.2446
O1 O 0.0509 0.2629 0.7643
O2 O 0.2419 0.5000 0.5020
```

VASP energy   -5.534 eV per atom

***

No. 6
A plane-wave DFT calculation with PBE was carried out for a relaxed V4TcW crystal.

```
data_V4TcW
_chemical_formula_sum 'V8 Tc2 W2'
_cell_length_a 6.7098
_cell_length_b 6.8014
_cell_length_c 4.6224
_cell_angle_alpha 90.00
_cell_angle_beta 90.00
_cell_angle_gamma 90.00
_space_group_name_H-M_alt 'C m m m'
_space_group_IT_number 65
_space_group_name_Hall '-C 2 2'
loop_
_atom_site_label
_atom_site_type_symbol
_atom_site_fract_x
_atom_site_fract_y
_atom_site_fract_z
V1 V 0.0000 0.1544 0.0000
V2 V 0.1637 0.5000 0.5000
Tc1 Tc 0.0000 0.0000 0.5000
W1 W 0.0000 0.5000 0.0000
```

ΔE to the lowest computed polymorph   1225.1 meV/atom
VASP energy   -8.830 eV per atom

***

No. 7
A plane-wave DFT calculation with PBE was carried out for a relaxed Al3IrF crystal.

```
data_Al3IrF
_chemical_formula_sum 'Al3 Ir1 F1'
_cell_length_a 4.7221
_cell_length_b 4.7221
_cell_length_c 4.7221
_cell_angle_alpha 90.00
_cell_angle_beta 90.00
_cell_angle_gamma 90.00
_space_group_name_H-M_alt 'P m -3 m'
_space_group_IT_number 221
_space_group_name_Hall '-P 4 2 3'
loop_
_atom_site_label
_atom_site_type_symbol
_atom_site_fract_x
_atom_site_fract_y
_atom_site_fract_z
Al1 Al 0.0000 0.0000 0.5000
Ir1 Ir 0.0000 0.0000 0.0000
F1 F 0.5000 0.5000 0.5000
```

ΔE to the lowest computed polymorph   0.0 meV/atom
VASP energy   -5.112 eV per atom

***

No. 8
A plane-wave DFT calculation with PBE was carried out for a relaxed Sm3Si2Ge crystal.

```
data_Sm3Si2Ge
_chemical_formula_sum 'Sm12 Si8 Ge4'
_cell_length_a 11.7769
_cell_length_b 4.1538
_cell_length_c 11.8326
_cell_angle_alpha 90.00
_cell_angle_beta 90.00
_cell_angle_gamma 90.00
_space_group_name_H-M_alt 'P n m a'
_space_group_IT_number 62
_space_group_name_Hall '-P 2ac 2n'
loop_
_atom_site_label
_atom_site_type_symbol
_atom_site_fract_x
_atom_site_fract_y
_atom_site_fract_z
Sm1 Sm 0.0590 0.2500 0.1212
Sm2 Sm 0.1192 0.7500 0.5585
Sm3 Sm 0.2026 0.2500 0.7979
Si1 Si 0.0205 0.7500 0.3093
Si2 Si 0.1892 0.7500 0.9944
Ge1 Ge 0.1321 0.2500 0.3700
```

VASP energy   -5.609 eV per atom

***

What is the VASP energy in the eighth record?
-5.609 eV per atom

***

Please write out number 4 again, unchanged.
A plane-wave DFT calculation with PBE was carried out for a relaxed TaCrAgS4 crystal.

```
data_TaCrAgS4
_chemical_formula_sum 'Ta4 Cr4 Ag4 S16'
_cell_length_a 7.1083
_cell_length_b 7.5025
_cell_length_c 10.3957
_cell_angle_alpha 90.00
_cell_angle_beta 90.00
_cell_angle_gamma 90.00
_space_group_name_H-M_alt 'I m m a'
_space_group_IT_number 74
_space_group_name_Hall '-I 2b 2'
loop_
_atom_site_label
_atom_site_type_symbol
_atom_site_fract_x
_atom_site_fract_y
_atom_site_fract_z
Ta1 Ta 0.2500 0.2500 0.2500
Cr1 Cr 0.0000 0.0000 0.0000
Ag1 Ag 0.0000 0.2500 0.6273
S1 S 0.0000 0.0183 0.2358
S2 S 0.2214 0.2500 0.0135
```

VASP energy   -6.488 eV per atom